PBE with a Hubbard U LiBeVO2, relaxed; symmetry = P4/mmm, No. 123; electronic total energy = -4.112 eV per atom; Fermi-level density of states = 0.396 states/eV/atom; density = 3148 kg/m³
1.0
-2.203 -0.280 -3.008
3.009 0.034 -2.207
0.193 -3.728 0.206
Li Be O V
1 1 2 1
direct
0.000 0.000 0.000
0.500 0.500 0.500
0.500 0.000 0.000
0.000 0.000 0.500
0.000 0.500 0.000